Entry 1:
VASP calculation (PBE) on an optimized crystal structure of PmHf2Ga6.

Cell lengths 7.5454, 7.5454, 7.5454 Å; angles 147.86, 126.14, 64.11 degrees
Closest atoms and distances in Å follow each position.
Fractional positions:
Pm  0.0000  0.0000  0.0000  4 Ga 3.01
Hf  0.3804  0.8804  0.5000  10 Ga 2.80-3.03, 1 Hf 3.06
Hf  0.6196  0.1196  0.5000  10 Ga 2.80-3.03, 1 Hf 3.06
Ga  0.0164  0.3086  0.7078  4 Ga 2.56-2.84, 1 Hf 2.80
Ga  0.3168  0.5000  0.8168  3 Ga 2.50-2.56
Ga  0.3991  0.6914  0.7078  4 Ga 2.56-2.84, 1 Hf 2.80
Ga  0.6009  0.3086  0.2922  4 Ga 2.56-2.84, 1 Hf 2.80
Ga  0.6832  0.5000  0.1832  3 Ga 2.50-2.56
Ga  0.9836  0.6914  0.2922  4 Ga 2.56-2.84, 1 Hf 2.80

Summary:
- Energy of formation from the pure elements: -0.3840 eV/atom
- Space group: Immm (71)

***

Entry 2:
VASP calculation (PBE) on an optimized crystal structure of HfHgAu.

Cell lengths 9.2607, 4.5907, 6.5106 Å; angles 90.00, 90.00, 90.00 degrees
Closest atoms and distances in Å follow each position.
Fractional positions:
Hf  0.1525  0.2500  0.0151  4 Au 2.71-2.86
Hf  0.3475  0.7500  0.5151  4 Au 2.71-2.86
Hf  0.6525  0.2500  0.4849  4 Au 2.71-2.86
Hf  0.8475  0.7500  0.9849  4 Au 2.71-2.86
Hg  0.1125  0.2500  0.5211  4 Au 2.92-2.95, 2 Hg 3.11, 3 Hf 3.16-3.24
Hg  0.3875  0.7500  0.0211  4 Au 2.92-2.95, 2 Hg 3.11, 3 Hf 3.16-3.24
Hg  0.6125  0.2500  0.9789  4 Au 2.92-2.95, 2 Hg 3.11, 3 Hf 3.16-3.24
Hg  0.8875  0.7500  0.4789  4 Au 2.92-2.95, 2 Hg 3.11, 3 Hf 3.16-3.24
Au  0.1128  0.7500  0.8001  4 Hf 2.71-2.86, 4 Hg 2.92-2.95
Au  0.3872  0.2500  0.3001  4 Hf 2.71-2.86, 4 Hg 2.92-2.95
Au  0.6128  0.7500  0.6999  4 Hf 2.71-2.86, 4 Hg 2.92-2.95
Au  0.8872  0.2500  0.1999  4 Hf 2.71-2.86, 4 Hg 2.92-2.95

Summary:
- Energy of formation from the pure elements: -0.0614 eV/atom
- Space group: Pnma (62)

***

Entry 3:
VASP calculation (PBE) on an optimized crystal structure of GeMoC3.

Cell lengths 4.1157, 4.1157, 4.1157 Å; angles 90.00, 90.00, 90.00 degrees
Closest atoms and distances in Å follow each position.
Fractional positions:
Ge  0.0000  0.0000  0.0000  12 C 2.91
Mo  0.5000  0.5000  0.5000  6 C 2.06
C  0.0000  0.5000  0.5000  2 Mo 2.06
C  0.5000  0.0000  0.5000  2 Mo 2.06
C  0.5000  0.5000  0.0000  2 Mo 2.06

Summary:
- Excess energy over the best structure of this formula in the dataset: 0 meV/atom
- Energy of formation from the pure elements: 1.9577 eV/atom
- Space group: Pm-3m (221)